(1)
{
  "formula": "Ba2LiDy",
  "functional": "PBE",
  "state": "optimized geometry",
  "lattice_angstrom": [[4.3474, 0.0000, 0.0000], [0.0000, 4.3474, 0.0000], [0.0000, 0.0000, 9.0625]],
  "species": ["Li", "Ba", "Ba", "Dy"],
  "frac_coords": [[0.5000, 0.5000, 0.5000], [0.0000, 0.0000, 0.7370], [0.0000, 0.0000, 0.2630], [0.5000, 0.5000, 0.0000]],
  "delta_e_f_ev_per_atom": 0.21,
  "de_polymorph_kj_per_mol_fu": 0,
  "volume_a3_per_cell": 171,
  "magnetic_moment_mub_per_fu": 0.00
}

(2)
{
  "formula": "Cs3Dy3HfSe8",
  "functional": "PBE",
  "state": "optimized geometry",
  "lattice_angstrom": [[-7.4633, -0.1665, -3.5936], [3.6133, -7.0661, 2.3740], [-3.6297, 5.4501, 7.2858]],
  "species": ["Cs", "Cs", "Cs", "Dy", "Dy", "Dy", "Hf", "Se", "Se", "Se", "Se", "Se", "Se", "Se", "Se"],
  "frac_coords": [[0.0000, 0.0000, 0.0000], [0.0000, 0.5000, 0.0000], [0.5000, 0.5000, 0.0000], [0.5000, 0.0000, 0.5000], [0.5000, 0.5000, 0.5000], [0.0000, 0.5000, 0.5000], [0.0000, 0.0000, 0.5000], [0.2715, 0.5430, 0.3146], [0.7285, 0.4570, 0.6854], [0.7825, 0.5649, 0.3212], [0.2175, 0.4351, 0.6788], [0.7826, 0.0386, 0.3212], [0.2174, 0.9614, 0.6788], [0.2560, 0.0386, 0.3212], [0.7440, 0.9614, 0.6788]],
  "formation_energy_uncorrected_ev_per_atom": -1.667,
  "volume_a3_per_cell": 508,
  "magnetic_moment_mub_per_fu": 0.00
}

(3)
{
  "formula": "CdInSb",
  "functional": "PBE",
  "state": "optimized geometry",
  "lattice_angstrom": [[7.0452, -0.2012, 0.0000], [5.4712, 4.4431, 0.0000], [-6.2582, -2.1209, 2.4519]],
  "species": ["Sb", "Cd", "In"],
  "frac_coords": [[0.6628, 0.6628, 0.0000], [0.0004, 0.0004, 0.0000], [0.3369, 0.3369, 0.0000]],
  "formation_energy_uncorrected_ev_per_atom": 0.096,
  "volume_a3_per_cell": 79,
  "magnetic_moment_mub_per_fu": 0.00
}

(4)
{
  "formula": "Ac2AlGe6Ru",
  "functional": "PBE",
  "state": "optimized geometry",
  "lattice_angstrom": [[-0.4172, 6.3109, 1.4440], [-5.0194, 3.4968, -2.1598], [-8.1171, 0.5187, 9.9610]],
  "species": ["Ac", "Ac", "Ac", "Ac", "Al", "Al", "Ge", "Ge", "Ge", "Ge", "Ge", "Ge", "Ge", "Ge", "Ge", "Ge", "Ge", "Ge", "Ru", "Ru"],
  "frac_coords": [[0.8793, 0.8793, 0.3621], [0.1207, 0.1207, 0.6379], [0.7053, 0.7053, 0.8842], [0.2947, 0.2947, 0.1158], [0.0000, 0.0000, 0.0000], [0.5000, 0.5000, 0.5000], [0.9418, 0.3375, 0.3832], [0.3375, 0.9418, 0.3832], [0.3375, 0.3375, 0.3832], [0.0582, 0.6625, 0.6168], [0.6625, 0.0582, 0.6168], [0.6625, 0.6625, 0.6168], [0.6549, 0.2381, 0.8689], [0.2381, 0.6549, 0.8689], [0.2381, 0.2381, 0.8689], [0.3451, 0.7619, 0.1311], [0.7619, 0.3451, 0.1311], [0.7619, 0.7619, 0.1311], [0.5673, 0.5673, 0.2981], [0.4327, 0.4327, 0.7019]],
  "delta_e_f_ev_per_atom": -0.38,
  "volume_a3_per_cell": 448,
  "magnetic_moment_mub_per_fu": 0.00
}

(5)
{
  "formula": "BaMnSi3",
  "functional": "PBE",
  "state": "optimized geometry",
  "lattice_angstrom": [[4.6395, 0.0000, 0.0000], [0.0000, 4.6395, 0.0000], [0.0000, 0.0000, 4.6395]],
  "species": ["Si", "Si", "Si", "Mn", "Ba"],
  "frac_coords": [[0.0000, 0.5000, 0.0000], [0.0000, 0.0000, 0.5000], [0.5000, 0.0000, 0.0000], [0.0000, 0.0000, 0.0000], [0.5000, 0.5000, 0.5000]],
  "formation_energy_uncorrected_ev_per_atom": -0.003,
  "volume_a3_per_cell": 100,
  "magnetic_moment_mub_per_fu": 1.55
}